[1]
A relaxed structure of KBeRh2. Source: Alexandria via LeMat-Bulk, functional PBE-GGA.

Structure (POSCAR):
```
KBeRh2
1.0
2.852 0.000 0.000
0.000 2.852 0.000
0.000 0.000 8.053
K Be Rh
1 1 2
Direct
0.000 0.000 0.000 K
0.000 0.000 0.500 Be
0.500 0.500 0.335 Rh
0.500 0.500 0.665 Rh
```

Summary:
**Symmetry**: P4/mmm
**Fermi-level density of states**: 5.37 states/eV/f.u.
**Formation energy from the elements**: 196 meV per atom
**Uncorrected energy**: -18.7 eV per cell

=====

[2]
A relaxed structure of K2BeRh. Source: Alexandria via LeMat-Bulk, functional PBE-GGA.

Structure (POSCAR):
```
K2BeRh
1.0
7.124 0.000 0.000
0.000 7.124 0.000
0.000 0.000 7.124
K Be Rh
8 4 4
Direct
0.000 0.000 0.000 K
0.000 0.500 0.500 K
0.250 0.250 0.250 K
0.250 0.750 0.750 K
0.500 0.000 0.500 K
0.500 0.500 0.000 K
0.750 0.250 0.750 K
0.750 0.750 0.250 K
0.000 0.000 0.500 Be
0.000 0.500 0.000 Be
0.500 0.000 0.000 Be
0.500 0.500 0.500 Be
0.250 0.250 0.750 Rh
0.250 0.750 0.250 Rh
0.750 0.250 0.250 Rh
0.750 0.750 0.750 Rh
```

Summary:
**Symmetry**: F-43m
**Fermi-level density of states**: 3.20 states/eV/f.u.
**Formation energy from the elements**: 853 meV per atom
**Uncorrected energy**: -39.4 eV per cell

=====

[3]
A relaxed structure of K2BeRh. Source: Alexandria via LeMat-Bulk, functional PBE-GGA.

Structure (POSCAR):
```
K2BeRh
1.0
3.259 0.000 0.000
0.000 3.276 0.000
0.000 0.000 19.663
K Be Rh
4 2 2
Direct
0.000 0.000 0.142 K
0.000 0.000 0.858 K
0.500 0.500 0.358 K
0.500 0.500 0.642 K
0.000 0.500 0.500 Be
0.500 0.000 0.000 Be
0.000 0.500 0.000 Rh
0.500 0.000 0.500 Rh
```

Summary:
**Symmetry**: Immm
**Fermi-level density of states**: 1.11 states/eV/f.u.
**Formation energy from the elements**: 156 meV per atom
**Uncorrected energy**: -25.3 eV per cell

=====

[4]
A relaxed structure of KBeRh2. Source: Alexandria via LeMat-Bulk, functional PBE-GGA.

Structure (POSCAR):
```
KBeRh2
1.0
4.882 0.000 0.000
0.000 2.760 0.000
-1.922 0.000 4.709
K Be Rh
1 1 2
Direct
0.000 0.000 0.000 K
0.000 0.500 0.500 Be
0.500 0.000 0.500 Rh
0.500 0.500 0.000 Rh
```

Summary:
**Symmetry**: P2/m
**Fermi-level density of states**: 3.66 states/eV/f.u.
**Formation energy from the elements**: 764 meV per atom
**Uncorrected energy**: -16.5 eV per cell

=====

[5]
A relaxed structure of K2BeRh. Source: Alexandria via LeMat-Bulk, functional PBE-GGA.

Structure (POSCAR):
```
K2BeRh
1.0
6.151 0.000 0.000
0.000 6.151 0.000
0.000 0.000 2.733
K Be Rh
2 1 1
Direct
0.000 0.500 0.000 K
0.500 0.000 0.000 K
0.000 0.000 0.500 Be
0.500 0.500 0.500 Rh
```

Summary:
**Symmetry**: P4/mmm
**Fermi-level density of states**: 1.64 states/eV/f.u.
**Formation energy from the elements**: 1034 meV per atom
**Uncorrected energy**: -9.1 eV per cell

=====

[6]
A relaxed structure of KBeRh2. Source: Alexandria via LeMat-Bulk, functional PBE-GGA.

Structure (POSCAR):
```
KBeRh2
1.0
5.730 0.000 0.000
0.000 8.725 0.000
0.000 0.000 2.615
K Be Rh
2 2 4
Direct
0.000 0.000 0.000 K
0.500 0.500 0.000 K
0.000 0.500 0.000 Be
0.500 0.000 0.000 Be
0.250 0.250 0.500 Rh
0.250 0.750 0.500 Rh
0.750 0.250 0.500 Rh
0.750 0.750 0.500 Rh
```

Summary:
**Symmetry**: Cmmm
**Fermi-level density of states**: 5.19 states/eV/f.u.
**Formation energy from the elements**: 855 meV per atom
**Uncorrected energy**: -32.2 eV per cell